(1)
This record from the Alexandria database describes an optimized crystal structure of TlHg2Bi2. The functional is PBE-GGA.

```
TlHg2Bi2
1.0
-2.247 2.247 7.710
2.247 -2.247 7.710
2.247 2.247 -7.710
Tl Hg Bi
1 2 2
direct
0.000 0.000 0.000
0.250 0.750 0.500
0.750 0.250 0.500
0.393 0.393 0.000
0.607 0.607 0.000
```

Magnetic moment ... 0.00 μB/f.u.
Distance to the lowest polymorph of the same formula ... 83 meV/atom
Calculated formation energy ... 108.5 meV per atom
Energy ... -2.038 eV per atom
D(E_F) ... 2.18 states/eV/f.u.
Space group ... I4/mmm (139)

(2)
This record from the Alexandria database describes an optimized crystal structure of TmMg15Tl4. The functional is PBE-GGA.

```
TmMg15Tl4
1.0
4.719 0.000 0.000
0.000 4.719 0.000
0.000 0.000 21.227
Tm Mg Tl
1 15 4
direct
0.000 0.000 0.000
0.000 0.500 0.104
0.000 0.500 0.301
0.000 0.500 0.500
0.000 0.500 0.699
0.000 0.500 0.896
0.500 0.000 0.104
0.500 0.000 0.301
0.500 0.000 0.500
0.500 0.000 0.699
0.500 0.000 0.896
0.500 0.500 0.000
0.500 0.500 0.205
0.500 0.500 0.400
0.500 0.500 0.600
0.500 0.500 0.795
0.000 0.000 0.201
0.000 0.000 0.401
0.000 0.000 0.599
0.000 0.000 0.799
```

Magnetic moment ... 0.00 μB/f.u.
Calculated formation energy ... -24.3 meV per atom
Energy ... -1.917 eV per atom
D(E_F) ... 12.05 states/eV/f.u.
Space group ... P4/mmm (123)

(3)
This record from the Alexandria database describes an optimized crystal structure of ZnHF2. The functional is PBE-GGA.

```
ZnHF2
1.0
5.531 0.000 0.000
0.000 3.194 0.000
-1.932 0.000 7.166
Zn H F
2 2 4
direct
0.000 0.000 0.000
0.500 0.500 0.001
0.006 0.500 0.511
0.498 0.000 0.489
0.214 0.500 0.136
0.287 0.000 0.865
0.715 0.000 0.137
0.786 0.500 0.864
```

Magnetic moment ... 1.00 μB/f.u.
Distance to the lowest polymorph of the same formula ... 245 meV/atom
Energy ... -3.210 eV per atom
D(E_F) ... 0.00 states/eV/f.u.
Space group ... Pm (6)

(4)
This record from the Alexandria database describes an optimized crystal structure of Co2ReSiH. The functional is PBE-GGA.

```
Co2ReSiH
1.0
3.598 0.000 0.000
0.000 3.598 0.000
0.000 0.000 3.852
Co Re Si H
2 1 1 1
direct
0.000 0.500 0.000
0.500 0.000 0.000
0.000 0.000 0.500
0.500 0.500 0.500
0.000 0.000 0.000
```

Magnetic moment ... 0.00 μB/f.u.
Energy ... -7.111 eV per atom
D(E_F) ... 5.14 states/eV/f.u.
Space group ... P4/mmm (123)

(5)
This record from the Alexandria database describes an optimized crystal structure of Ti6Ga2HN. The functional is PBE-GGA.

```
Ti6Ga2HN
1.0
0.000 4.081 4.081
4.081 0.000 4.081
4.081 4.081 0.000
Ti Ga H N
6 2 1 1
direct
0.245 0.245 0.755
0.245 0.755 0.245
0.245 0.755 0.755
0.755 0.245 0.245
0.755 0.245 0.755
0.755 0.755 0.245
0.250 0.250 0.250
0.750 0.750 0.750
0.000 0.000 0.000
0.500 0.500 0.500
```

Magnetic moment ... 0.00 μB/f.u.
Energy ... -7.230 eV per atom
D(E_F) ... 3.94 states/eV/f.u.
Space group ... Fm-3m (225)

(6)
This record from the Alexandria database describes an optimized crystal structure of Ac2Se2Br. The functional is PBE-GGA.

```
Ac2Se2Br
1.0
7.134 -3.103 0.000
7.134 3.103 0.000
-3.190 0.000 8.665
Ac Se Br
4 4 2
direct
0.011 0.011 0.246
0.334 0.334 0.927
0.666 0.666 0.073
0.989 0.989 0.754
0.164 0.164 0.075
0.490 0.490 0.760
0.510 0.510 0.240
0.836 0.836 0.925
0.155 0.155 0.596
0.845 0.845 0.404
```

Magnetic moment ... 0.00 μB/f.u.
ΔE_f (raw) ... -1.88 eV/atom
Energy ... -5.250 eV per atom
D(E_F) ... 2.38 states/eV/f.u.
Space group ... C2/m (12)

(7)
This record from the Alexandria database describes an optimized crystal structure of AlCr2Br. The functional is PBE-GGA.

```
AlCr2Br
1.0
0.000 3.324 3.324
3.324 0.000 3.324
3.324 3.324 0.000
Al Cr Br
1 2 1
direct
0.000 0.000 0.000
0.250 0.250 0.250
0.750 0.750 0.750
0.500 0.500 0.500
```

Magnetic moment ... 7.98 μB/f.u.
Distance to the lowest polymorph of the same formula ... 530 meV/atom
ΔE_f (raw) ... 0.72 eV/atom
Energy ... -5.450 eV per atom
D(E_F) ... 1.84 states/eV/f.u.
Space group ... Fm-3m (225)

(8)
This record from the Alexandria database describes an optimized crystal structure of As2PbAu. The functional is PBE-GGA.

```
As2PbAu
1.0
3.572 0.000 0.000
0.000 3.572 0.000
0.000 0.000 7.257
As Pb Au
2 1 1
direct
0.000 0.000 0.000
0.500 0.500 0.140
0.500 0.500 0.620
0.000 0.000 0.384
```

Magnetic moment ... 0.00 μB/f.u.
Calculated formation energy ... 118.0 meV per atom
Energy ... -3.953 eV per atom
D(E_F) ... 1.17 states/eV/f.u.
Space group ... P4mm (99)

(9)
This record from the Alexandria database describes an optimized crystal structure of Ca5Y3H12. The functional is PBE-GGA.

```
Ca5Y3H12
1.0
-6.626 6.626 6.626
6.626 -6.626 6.626
6.626 6.626 -6.626
Ca Y H
20 12 48
direct
0.000 0.000 0.000
0.000 0.000 0.500
0.000 0.500 0.000
0.000 0.500 0.500
0.125 0.750 0.875
0.125 0.875 0.250
0.250 0.125 0.875
0.250 0.625 0.375
0.375 0.250 0.625
0.375 0.625 0.750
0.500 0.000 0.000
0.500 0.000 0.500
0.500 0.500 0.000
0.500 0.500 0.500
0.625 0.375 0.250
0.625 0.750 0.375
0.750 0.375 0.625
0.750 0.875 0.125
0.875 0.125 0.750
0.875 0.250 0.125
0.125 0.250 0.375
0.125 0.375 0.750
0.250 0.375 0.125
0.250 0.875 0.625
0.375 0.125 0.250
0.375 0.750 0.125
0.625 0.250 0.875
0.625 0.875 0.750
0.750 0.125 0.375
0.750 0.625 0.875
0.875 0.625 0.250
0.875 0.750 0.625
0.067 0.228 0.153
0.067 0.339 0.913
0.074 0.728 0.661
0.074 0.847 0.413
0.087 0.653 0.426
0.087 0.933 0.661
0.153 0.067 0.228
0.153 0.587 0.926
0.161 0.228 0.574
0.161 0.433 0.587
0.228 0.153 0.067
0.228 0.574 0.161
0.272 0.339 0.926
0.272 0.433 0.347
0.339 0.913 0.067
0.339 0.926 0.272
0.347 0.272 0.433
0.347 0.574 0.913
0.413 0.074 0.847
0.413 0.839 0.567
0.426 0.087 0.653
0.426 0.839 0.772
0.433 0.347 0.272
0.433 0.587 0.161
0.567 0.413 0.839
0.567 0.653 0.728
0.574 0.161 0.228
0.574 0.913 0.347
0.587 0.161 0.433
0.587 0.926 0.153
0.653 0.426 0.087
0.653 0.728 0.567
0.661 0.074 0.728
0.661 0.087 0.933
0.728 0.567 0.653
0.728 0.661 0.074
0.772 0.426 0.839
0.772 0.847 0.933
0.839 0.567 0.413
0.839 0.772 0.426
0.847 0.413 0.074
0.847 0.933 0.772
0.913 0.067 0.339
0.913 0.347 0.574
0.926 0.153 0.587
0.926 0.272 0.339
0.933 0.661 0.087
0.933 0.772 0.847
```

Magnetic moment ... 2.42 μB/f.u.
Energy ... -3.873 eV per atom
D(E_F) ... 7.93 states/eV/f.u.
Space group ... Ia-3d (230)

(10)
This record from the Alexandria database describes an optimized crystal structure of Ac2NiPb4. The functional is PBE-GGA.

```
Ac2NiPb4
1.0
-2.569 2.569 8.607
2.569 -2.569 8.607
2.569 2.569 -8.607
Ac Ni Pb
2 1 4
direct
0.149 0.149 0.000
0.851 0.851 0.000
0.500 0.500 0.000
0.000 0.500 0.500
0.343 0.343 0.000
0.500 0.000 0.500
0.657 0.657 0.000
```

Magnetic moment ... 0.00 μB/f.u.
Calculated formation energy ... -228.9 meV per atom
Energy ... -4.348 eV per atom
D(E_F) ... 3.64 states/eV/f.u.
Space group ... I4/mmm (139)

(11)
This record from the Alexandria database describes an optimized crystal structure of NaAlNiPb2. The functional is PBE-GGA.

```
NaAlNiPb2
1.0
5.389 0.000 0.000
0.000 5.389 0.000
0.000 0.000 5.102
Na Al Ni Pb
1 1 1 2
direct
0.000 0.000 0.000
0.000 0.000 0.500
0.500 0.500 0.500
0.000 0.500 0.000
0.500 0.000 0.000
```

Magnetic moment ... 0.39 μB/f.u.
Calculated formation energy ... 1188.9 meV per atom
Energy ... -2.463 eV per atom
D(E_F) ... 6.41 states/eV/f.u.
Space group ... P4/mmm (123)

(12)
This record from the Alexandria database describes an optimized crystal structure of Pr2Nd3Y. The functional is PBE-GGA.

```
Pr2Nd3Y
1.0
4.605 -5.047 0.000
4.605 5.047 0.000
-1.833 0.000 9.026
Pr Nd Y
4 6 2
direct
0.121 0.628 0.876
0.372 0.879 0.624
0.628 0.121 0.376
0.879 0.372 0.124
0.170 0.339 0.501
0.339 0.170 0.001
0.416 0.584 0.250
0.584 0.416 0.750
0.661 0.830 0.999
0.830 0.661 0.499
0.082 0.918 0.250
0.918 0.082 0.750
```

Magnetic moment ... 0.00 μB/f.u.
Distance to the lowest polymorph of the same formula ... 0 meV/atom
Calculated formation energy ... 54.5 meV per atom
Energy ... -5.000 eV per atom
D(E_F) ... 8.98 states/eV/f.u.
Space group ... C2/c (15)

(13)
This record from the Alexandria database describes an optimized crystal structure of MgRhCl6. The functional is PBE-GGA.

```
MgRhCl6
1.0
3.063 1.768 5.452
-3.063 1.768 5.452
0.000 -3.537 5.452
Mg Rh Cl
1 1 6
direct
0.000 0.000 0.000
0.500 0.500 0.500
0.100 0.732 0.424
0.268 0.576 0.900
0.424 0.100 0.732
0.576 0.900 0.268
0.732 0.424 0.100
0.900 0.268 0.576
```

Magnetic moment ... 0.02 μB/f.u.
Distance to the lowest polymorph of the same formula ... 34 meV/atom
ΔE_f (raw) ... -0.87 eV/atom
Energy ... -3.378 eV per atom
D(E_F) ... 7.69 states/eV/f.u.
Space group ... R-3 (148)

(14)
This record from the Alexandria database describes an optimized crystal structure of PrSnH6Ir2. The functional is PBE-GGA.

```
PrSnH6Ir2
1.0
3.767 -6.144 0.000
3.767 6.144 0.000
-0.230 0.000 4.747
Pr Sn H Ir
2 2 12 4
direct
0.215 0.785 0.750
0.785 0.215 0.250
0.422 0.578 0.250
0.578 0.422 0.750
0.053 0.431 0.953
0.088 0.150 0.068
0.102 0.423 0.500
0.150 0.088 0.568
0.423 0.102 0.000
0.431 0.053 0.453
0.569 0.947 0.547
0.577 0.898 0.000
0.850 0.912 0.432
0.898 0.577 0.500
0.912 0.850 0.932
0.947 0.569 0.047
0.127 0.288 0.760
0.288 0.127 0.260
0.712 0.873 0.740
0.873 0.712 0.240
```

Magnetic moment ... 0.00 μB/f.u.
Energy ... -4.907 eV per atom
D(E_F) ... 1.85 states/eV/f.u.
Space group ... C2/c (15)

(15)
This record from the Alexandria database describes an optimized crystal structure of PrZn4Ag. The functional is PBE-GGA.

```
PrZn4Ag
1.0
2.102 -8.221 0.000
2.102 8.221 0.000
0.000 0.000 6.762
Pr Zn Ag
2 8 2
direct
0.116 0.884 0.750
0.884 0.116 0.250
0.072 0.928 0.250
0.336 0.664 0.560
0.336 0.664 0.940
0.500 0.500 0.000
0.500 0.500 0.500
0.664 0.336 0.060
0.664 0.336 0.440
0.928 0.072 0.750
0.234 0.766 0.250
0.766 0.234 0.750
```

Magnetic moment ... 0.00 μB/f.u.
Distance to the lowest polymorph of the same formula ... 0 meV/atom
Calculated formation energy ... -187.0 meV per atom
Energy ... -2.308 eV per atom
D(E_F) ... 3.96 states/eV/f.u.
Space group ... Cmcm (63)

(16)
This record from the Alexandria database describes an optimized crystal structure of Rb2Li2Se. The functional is PBE-GGA.

```
Rb2Li2Se
1.0
7.490 0.000 0.000
0.000 7.490 0.000
0.000 0.000 5.891
Rb Li Se
4 4 2
direct
0.201 0.299 0.000
0.299 0.799 0.000
0.701 0.201 0.000
0.799 0.701 0.000
0.156 0.656 0.500
0.344 0.156 0.500
0.656 0.844 0.500
0.844 0.344 0.500
0.000 0.000 0.500
0.500 0.500 0.500
```

Magnetic moment ... 0.00 μB/f.u.
Distance to the lowest polymorph of the same formula ... 0 meV/atom
ΔE_f (raw) ... -0.38 eV/atom
Energy ... -2.234 eV per atom
D(E_F) ... 0.07 states/eV/f.u.
Space group ... P4/mbm (127)

(17)
This record from the Alexandria database describes an optimized crystal structure of Cs2K2Rb2Au. The functional is PBE-GGA.

```
Cs2K2Rb2Au
1.0
4.968 0.000 0.000
-0.013 9.804 0.000
-2.469 -2.570 10.922
Cs K Rb Au
2 2 2 1
direct
0.164 0.091 0.324
0.836 0.909 0.676
0.498 0.235 0.995
0.502 0.765 0.005
0.152 0.575 0.307
0.848 0.425 0.693
0.000 0.000 0.000
```

Magnetic moment ... 0.00 μB/f.u.
Calculated formation energy ... -82.3 meV per atom
Energy ... -1.384 eV per atom
D(E_F) ... 6.06 states/eV/f.u.
Space group ... P-1 (2)

(18)
This record from the Alexandria database describes an optimized crystal structure of SrTeI2N. The functional is PBE-GGA.

```
SrTeI2N
1.0
6.466 0.000 0.000
0.000 6.466 0.000
0.000 0.000 4.105
Sr Te I N
1 1 2 1
direct
0.000 0.000 0.000
0.500 0.500 0.500
0.000 0.500 0.500
0.500 0.000 0.500
0.500 0.500 0.000
```

Magnetic moment ... 0.02 μB/f.u.
Distance to the lowest polymorph of the same formula ... 1 meV/atom
ΔE_f (raw) ... 0.01 eV/atom
Energy ... -3.243 eV per atom
D(E_F) ... 2.29 states/eV/f.u.
Space group ... P4/mmm (123)

(19)
This record from the Alexandria database describes an optimized crystal structure of TcRh. The functional is PBE-GGA.

```
TcRh
1.0
1.367 0.789 8.877
-1.367 0.789 8.877
0.000 -1.579 8.877
Tc Rh
2 2
direct
0.125 0.125 0.125
0.875 0.875 0.875
0.376 0.376 0.376
0.624 0.624 0.624
```

Magnetic moment ... 0.00 μB/f.u.
Distance to the lowest polymorph of the same formula ... 151 meV/atom
Calculated formation energy ... -23.8 meV per atom
Energy ... -8.883 eV per atom
D(E_F) ... 2.89 states/eV/f.u.
Space group ... R-3m (166)

(20)
This record from the Alexandria database describes an optimized crystal structure of Tl2FeOs. The functional is PBE-GGA.

```
Tl2FeOs
1.0
0.000 3.270 3.270
3.270 0.000 3.270
3.270 3.270 0.000
Tl Fe Os
2 1 1
direct
0.250 0.250 0.250
0.750 0.750 0.750
0.000 0.000 0.000
0.500 0.500 0.500
```

Magnetic moment ... 0.00 μB/f.u.
Distance to the lowest polymorph of the same formula ... 548 meV/atom
Calculated formation energy ... 1094.3 meV per atom
Energy ... -5.012 eV per atom
D(E_F) ... 10.28 states/eV/f.u.
Space group ... Fm-3m (225)